1.
DFT (PBE-GGA) results for KBaAgI after structural relaxation.

Lattice parameters (Å, degrees): 6.041 6.041 6.041 60.00 60.00 60.00
Fractional positions:
Ba1 0.750 0.750 0.750
Ag1 0.000 0.000 0.000
I1 0.500 0.500 0.500
K1 0.250 0.250 0.250

Results
Crystal system: cubic
Energy relative to the elements, uncorrected: -56 kJ/mol of atoms
Energy: -2.4343 eV/atom

2.
DFT (PBE-GGA) results for BaLiAgI2 after structural relaxation.

Lattice parameters (Å, degrees): 5.339 6.515 5.339 90.00 90.00 90.00
Fractional positions:
Ag1 0.500 0.500 0.500
Li1 0.000 0.000 0.000
I1 0.500 0.000 0.000
I2 0.000 0.000 0.500
Ba1 0.000 0.500 0.000

Results
Crystal system: tetragonal
Energy relative to the elements, uncorrected: -49 kJ/mol of atoms
Energy: -2.4649 eV/atom

3.
DFT (PBE-GGA) results for BaLiAgI4 after structural relaxation.

Lattice parameters (Å, degrees): 9.232 9.313 9.313 61.56 60.29 60.29
Fractional positions:
Ba1 0.000 0.000 0.000
Ba2 0.000 0.500 0.500
I1 0.720 0.764 0.264
I2 0.280 0.236 0.736
I3 0.251 0.764 0.264
I4 0.738 0.783 0.741
I5 0.262 0.217 0.259
I6 0.749 0.236 0.736
I7 0.738 0.241 0.283
I8 0.262 0.759 0.717
Ag1 0.357 0.393 0.893
Ag2 0.643 0.607 0.107
Li1 0.000 0.000 0.500
Li2 0.500 0.000 0.500

Results
Crystal system: orthorhombic
Energy relative to the elements, uncorrected: -108 kJ/mol of atoms
Energy: -2.9593 eV/atom

4.
DFT (PBE-GGA) results for Ba6Ag2I3N after structural relaxation.

Lattice parameters (Å, degrees): 8.143 8.143 8.886 98.84 98.84 119.78
Fractional positions:
Ag1 0.335 0.665 0.000
Ag2 0.665 0.335 0.000
I1 0.500 0.500 0.500
I2 0.827 0.173 0.500
I3 0.173 0.827 0.500
Ba1 0.351 0.064 0.195
Ba2 0.220 0.220 0.801
Ba3 0.780 0.780 0.199
Ba4 0.064 0.351 0.195
Ba5 0.936 0.649 0.805
Ba6 0.649 0.936 0.805
N1 0.000 0.000 0.000

Results
Crystal system: monoclinic
Energy relative to the elements, uncorrected: -80 kJ/mol of atoms
Energy: -3.3439 eV/atom

5.
DFT (PBE-GGA) results for BaAgIN2 after structural relaxation.

Lattice parameters (Å, degrees): 4.691 4.691 5.561 90.00 90.00 90.00
Each line ends with the local moment (μB).
Fractional positions:
Ag1 0.000 0.000 0.000  0.14
Ba1 0.500 0.500 0.500  -0.02
N1 0.000 0.500 0.000  0.98
N2 0.500 0.000 0.000  0.98
I1 0.000 0.000 0.500  0.08

Results
Crystal system: tetragonal
Energy relative to the elements, uncorrected: 93 kJ/mol of atoms
Energy above the most stable polymorph in this dataset: 0 meV per atom
Energy: -3.6341 eV/atom

6.
DFT (PBE-GGA) results for BaAgIN2 after structural relaxation.

Lattice parameters (Å, degrees): 4.761 4.761 7.343 90.00 90.00 90.00
Each line ends with the local moment (μB).
Fractional positions:
N1 0.000 0.500 0.000  0.77
N2 0.500 0.000 0.000  0.77
I1 0.000 0.000 0.500  0.00
Ba1 0.000 0.000 0.000  -0.03
Ag1 0.500 0.500 0.500  -0.01

Results
Crystal system: tetragonal
Energy relative to the elements, uncorrected: 128 kJ/mol of atoms
Energy above the most stable polymorph in this dataset: 369 meV per atom
Energy: -3.2652 eV/atom

7.
DFT (PBE-GGA) results for BaNaAgI4 after structural relaxation.

Lattice parameters (Å, degrees): 9.354 9.502 9.502 61.87 60.51 60.51
Fractional positions:
I1 0.258 0.231 0.253
I2 0.258 0.754 0.254
I3 0.742 0.769 0.747
I4 0.735 0.754 0.254
I5 0.265 0.246 0.746
I6 0.258 0.753 0.731
I7 0.742 0.247 0.269
I8 0.742 0.246 0.746
Ba1 0.000 0.000 0.000
Ba2 0.000 0.500 0.500
Na1 0.000 0.000 0.500
Na2 0.500 0.000 0.500
Ag1 0.644 0.606 0.106
Ag2 0.356 0.394 0.894

Results
Crystal system: orthorhombic
Energy relative to the elements, uncorrected: -112 kJ/mol of atoms
Energy: -2.9125 eV/atom

8.
DFT (PBE-GGA) results for BaAgI2O8 after structural relaxation.

Lattice parameters (Å, degrees): 5.638 5.638 8.245 70.01 70.01 60.00
Fractional positions:
Ba1 0.500 0.500 0.500
O1 0.697 0.065 0.817
O2 0.421 0.697 0.817
O3 0.177 0.177 0.470
O4 0.935 0.579 0.183
O5 0.065 0.421 0.817
O6 0.579 0.303 0.183
O7 0.303 0.935 0.183
O8 0.823 0.823 0.530
I1 0.743 0.743 0.771
I2 0.257 0.257 0.229
Ag1 0.000 0.000 0.000

Results
Crystal system: trigonal
Energy relative to the elements, uncorrected: -55 kJ/mol of atoms
Energy: -4.5271 eV/atom

9.
DFT (PBE-GGA) results for BaAgI2O after structural relaxation.

Lattice parameters (Å, degrees): 6.825 6.825 4.519 90.00 90.00 90.00
Each line ends with the local moment (μB).
Fractional positions:
Ag1 0.500 0.500 0.500  0.00
Ba1 0.000 0.000 0.000  0.00
I1 0.500 0.000 0.000  0.05
I2 0.000 0.500 0.000  0.05
O1 0.000 0.000 0.500  0.09

Results
Crystal system: tetragonal
Energy relative to the elements, uncorrected: -48 kJ/mol of atoms
Energy above the most stable polymorph in this dataset: 260 meV per atom
Energy: -3.0660 eV/atom

10.
DFT (PBE-GGA) results for BaAg2IO2 after structural relaxation.

Lattice parameters (Å, degrees): 6.219 8.667 8.341 136.16 90.00 90.00
Each line ends with the local moment (μB).
Fractional positions:
Ba1 0.250 0.099 0.919  0.02
Ba2 0.750 0.901 0.081  0.02
O1 0.486 0.241 0.275  0.24
O2 0.014 0.241 0.275  0.24
O3 0.514 0.759 0.725  0.24
O4 0.986 0.759 0.725  0.24
I1 0.750 0.267 0.730  0.00
I2 0.250 0.733 0.270  0.00
Ag1 0.750 0.479 0.483  0.32
Ag2 0.250 0.521 0.517  0.32
Ag3 0.250 0.101 0.365  0.02
Ag4 0.750 0.899 0.635  0.02

Results
Crystal system: monoclinic
Energy relative to the elements, uncorrected: -87 kJ/mol of atoms
Energy: -4.0858 eV/atom